Computed, not measured: a geometry-optimized Pu2SnAu6 structure at the PBE-GGA level of DFT.

The density of states at the Fermi level comes out at 3.3952 states/eV/atom. Its formation energy is -343.1 meV per atom.

The space group is C2/m (No. 12) and the conventional cell measures 11.1396, 6.4139 and 5.6092 Å, with angles of 90.00, 90.08 and 90.00 degrees. Symmetry generates all atoms from Pu at (0.1665, 0.0000, 0.1648), Sn at (0.0000, 0.5000, 0.0000), Au at (0.0935, 0.2201, 0.6756) and Au at (0.1871, 0.5000, 0.3236).